[1]
This record from Alexandria via LeMat-Bulk describes crystalline LiTi3S6 at its relaxed geometry. The functional is PBE.

The calculated density is 3.30 g cm⁻³. As for the density of states at the Fermi level: 8.3 states/eV per cell. As for the energy: -124.27 eV for the cell shown.

a = 7.6244 Å, b = 7.6244 Å, c = 6.0830 Å
α = 90.00°, β = 90.00°, γ = 102.32°
Atoms (fractional coordinates):
Li: 0.2097 0.7903 0.5000
Li: 0.7903 0.2097 0.0000
Ti: 0.0747 0.2757 0.4882
Ti: 0.2757 0.0747 0.9882
Ti: 0.4026 0.5974 0.8791
Ti: 0.5974 0.4026 0.3791
Ti: 0.7243 0.9253 0.4882
Ti: 0.9253 0.7243 0.9882
S: 0.0309 0.9691 0.6735
S: 0.1013 0.5373 0.7324
S: 0.2298 0.7702 0.1184
S: 0.3011 0.3711 0.1815
S: 0.3711 0.3011 0.6815
S: 0.4627 0.8987 0.7324
S: 0.5373 0.1013 0.2324
S: 0.6289 0.6989 0.1815
S: 0.6989 0.6289 0.6815
S: 0.7702 0.2298 0.6184
S: 0.8987 0.4627 0.2324
S: 0.9691 0.0309 0.1735


[2]
This record from Alexandria via LeMat-Bulk describes crystalline LiTi2S4 at its relaxed geometry. The functional is PBE.

The calculated density is 3.02 g cm⁻³. As for the density of states at the Fermi level: 2.8 states/eV per cell. As for the energy: -43.98 eV for the cell shown.

a = 7.1152 Å, b = 7.1152 Å, c = 5.9155 Å
α = 113.95°, β = 113.95°, γ = 27.80°
Atoms (fractional coordinates):
Li: 0.0000 0.0000 0.0000
Ti: 0.2529 0.2529 0.2594
Ti: 0.7471 0.7471 0.7406
S: 0.1331 0.1331 0.4678
S: 0.3643 0.3643 0.0270
S: 0.6357 0.6357 0.9730
S: 0.8669 0.8669 0.5322


[3]
This record from Alexandria via LeMat-Bulk describes crystalline LiTiTl2S4 at its relaxed geometry. The functional is PBE.

The calculated density is 4.39 g cm⁻³. As for the density of states at the Fermi level: 2.4 states/eV per cell. As for the energy: -37.35 eV for the cell shown.

a = 7.3627 Å, b = 7.3627 Å, c = 7.3627 Å
α = 130.76°, β = 130.76°, γ = 72.19°
Atoms (fractional coordinates):
Li: 0.0000 0.0000 0.0000
Ti: 0.7500 0.2500 0.5000
Tl: 0.2500 0.7500 0.5000
Tl: 0.5000 0.5000 0.0000
S: 0.0354 0.1228 0.4284
S: 0.3930 0.9646 0.0874
S: 0.6944 0.6070 0.5716
S: 0.8772 0.3056 0.9126